The following is a PBE calculation of a geometry-optimized Tb3DyMg8 structure, from Alexandria.

Cell: 6.0768 6.0768 9.7692 Å, 90.00 90.00 120.00°
Atoms (fractional coordinates):
Tb1 0.0000 0.0000 0.0000
Tb2 0.0000 0.0000 0.3716
Tb3 0.3333 0.6667 0.8704
Dy1 0.3333 0.6667 0.4993
Mg1 0.0081 0.5040 0.1855
Mg2 0.3250 0.1625 0.6852
Mg3 0.4960 0.5040 0.1855
Mg4 0.4960 0.9919 0.1855
Mg5 0.6667 0.3333 0.4354
Mg6 0.6667 0.3333 0.9354
Mg7 0.8375 0.1625 0.6852
Mg8 0.8375 0.6750 0.6852

Computed properties:
Energy of formation from the pure elements ... -0.859 eV per formula unit
Crystal system ... trigonal
E_tot ... -32.11 eV/cell
Space-group type ... P3m1 (156)

***

The following is a PBE calculation of a geometry-optimized ReP2Pb structure, from Alexandria.

Cell: 4.1458 4.1458 4.1367 Å, 90.00 90.00 90.00°
Atoms (fractional coordinates):
Re1 0.0000 0.0000 0.0000
P1 0.0000 0.5000 0.5000
P2 0.5000 0.0000 0.5000
Pb1 0.5000 0.5000 0.0000

Computed properties:
Energy of formation from the pure elements ... 4.713 eV per formula unit
Crystal system ... tetragonal
E_tot ... -22.26 eV/cell
Space-group type ... P4/mmm (123)

***

The following is a PBE calculation of a geometry-optimized SrCaCo2 structure, from Alexandria.

Cell: 3.7709 3.7709 6.7950 Å, 90.00 90.00 90.00°
Atoms (fractional coordinates):
Sr1 0.0000 0.0000 0.0000
Ca1 0.0000 0.0000 0.5000
Co1 0.5000 0.5000 0.3324
Co2 0.5000 0.5000 0.6676

Computed properties:
Energy of formation from the pure elements ... 1.807 eV per formula unit
Distance to the lowest polymorph of the same formula ... 243 meV per atom
Crystal system ... tetragonal
E_tot ... -16.09 eV/cell
Space-group type ... P4/mmm (123)

***

The following is a PBE calculation of a geometry-optimized Mn4ZnAs structure, from Alexandria.

Cell: 4.8056 4.8056 4.8056 Å, 60.00 60.00 60.00°
Atoms (fractional coordinates):
Mn1 0.1246 0.1246 0.1246
Mn2 0.1246 0.1246 0.6262
Mn3 0.1246 0.6262 0.1246
Mn4 0.6262 0.1246 0.1246
Zn1 0.7500 0.7500 0.7500
As1 0.5000 0.5000 0.5000

Computed properties:
Energy of formation from the pure elements ... 2.071 eV per formula unit
Crystal system ... cubic
E_tot ... -40.53 eV/cell
Space-group type ... F-43m (216)

***

What is the E_tot in the second record?
-22.26 eV/cell

***

The lowest E_tot belongs to which entry?
Mn4ZnAs